The following is a PBE calculation of a relaxed CaGa2Ni crystal, from Alexandria.

Computed properties:
DFT total energy = -3.644 eV/atom
Energy of formation = -0.185 eV per atom

a b c (Å): 8.641 8.641 8.641
angles (deg): 147.32 147.32 46.89
Fractional coordinates of all 8 atoms:
Ca 0.000 0.000 0.000
Ca 0.750 0.250 0.500
Ga 0.339 0.625 0.214
Ga 0.375 0.589 0.714
Ga 0.411 0.125 0.786
Ga 0.875 0.661 0.286
Ni 0.250 0.750 0.500
Ni 0.500 0.500 0.000



The following is a PBE calculation of a relaxed Er2Zn3Ga crystal, from Alexandria.

Computed properties:
Excess energy over the best structure of this formula in the dataset = 0.000 eV/atom
DFT total energy = -3.132 eV/atom
Energy of formation = -0.470 eV per atom

a b c (Å): 8.856 8.435 5.642
angles (deg): 75.06 66.96 37.99
Fractional coordinates of all 12 atoms:
Er 0.246 0.754 0.754
Er 0.250 0.250 0.250
Er 0.750 0.750 0.750
Er 0.754 0.246 0.246
Zn 0.166 0.166 0.834
Zn 0.168 0.667 0.333
Zn 0.333 0.832 0.168
Zn 0.667 0.168 0.832
Zn 0.832 0.333 0.667
Zn 0.834 0.834 0.166
Ga 0.334 0.334 0.666
Ga 0.666 0.666 0.334



The following is a PBE calculation of a relaxed Ba2HgAu crystal, from Alexandria.

Computed properties:
DFT total energy = -2.196 eV/atom
Energy of formation = -0.339 eV per atom

a b c (Å): 5.579 5.579 5.579
angles (deg): 60.00 60.00 60.00
Fractional coordinates of all 4 atoms:
Ba 0.000 0.000 0.000
Ba 0.250 0.250 0.250
Hg 0.500 0.500 0.500
Au 0.750 0.750 0.750



The following is a PBE calculation of a relaxed Mg3Cd2Sn crystal, from Alexandria.

Computed properties:
Excess energy over the best structure of this formula in the dataset = 0.006 eV/atom
DFT total energy = -1.880 eV/atom
Energy of formation = -0.111 eV per atom

a b c (Å): 7.247 7.247 4.215
angles (deg): 90.00 90.00 142.65
Fractional coordinates of all 6 atoms:
Mg 0.000 0.000 0.000
Mg 0.332 0.668 0.000
Mg 0.668 0.332 0.000
Cd 0.170 0.830 0.500
Cd 0.830 0.170 0.500
Sn 0.500 0.500 0.500



The following is a PBE calculation of a relaxed Y2Al3Si2 crystal, from Alexandria.

Computed properties:
DFT total energy = -5.423 eV/atom

a b c (Å): 9.463 9.463 4.035
angles (deg): 90.00 90.00 157.03
Fractional coordinates of all 7 atoms:
Y 0.164 0.836 0.000
Y 0.836 0.164 0.000
Al 0.000 0.000 0.000
Al 0.429 0.571 0.500
Al 0.571 0.429 0.500
Si 0.290 0.710 0.500
Si 0.710 0.290 0.500



The following is a PBE calculation of a relaxed BaPrO3 crystal, from Alexandria.

Computed properties:
DFT total energy = -6.788 eV/atom

a b c (Å): 4.572 4.572 4.572
angles (deg): 90.00 90.00 90.00
Fractional coordinates of all 5 atoms:
Ba 0.000 0.000 0.000
Pr 0.500 0.500 0.500
O 0.000 0.500 0.500
O 0.500 0.000 0.500
O 0.500 0.500 0.000



The following is a PBE calculation of a relaxed Tm3Si2Os crystal, from Alexandria.

Computed properties:
DFT total energy = -6.352 eV/atom

a b c (Å): 6.725 6.725 6.725
angles (deg): 72.50 72.50 72.50
Fractional coordinates of all 12 atoms:
Tm 0.089 0.750 0.411
Tm 0.250 0.589 0.911
Tm 0.411 0.089 0.750
Tm 0.589 0.911 0.250
Tm 0.750 0.411 0.089
Tm 0.911 0.250 0.589
Si 0.166 0.166 0.166
Si 0.334 0.334 0.334
Si 0.666 0.666 0.666
Si 0.834 0.834 0.834
Os 0.000 0.000 0.000
Os 0.500 0.500 0.500



The following is a PBE calculation of a relaxed Ba3FeSb crystal, from Alexandria.

Computed properties:
DFT total energy = -3.693 eV/atom

a b c (Å): 5.713 5.713 5.713
angles (deg): 90.00 90.00 90.00
Fractional coordinates of all 5 atoms:
Ba 0.000 0.000 0.500
Ba 0.000 0.500 0.000
Ba 0.500 0.000 0.000
Fe 0.000 0.000 0.000
Sb 0.500 0.500 0.500